! ReTc2P (GGA-PBE, optimized geometry); values from VASP
&SYSTEM
  ibrav = 0, nat = 4, ntyp = 3
/
ATOMIC_SPECIES
Re 186.21 Re.upf
Tc 98.00 Tc.upf
P 30.97 P.upf
ATOMIC_POSITIONS angstrom
Re 0.0000 0.0000 0.0000
Tc 0.0000 2.1745 1.4934
Tc 2.1745 0.0000 1.4934
P 2.1745 2.1745 0.0000
CELL_PARAMETERS angstrom
4.3489 0.0000 0.0000
0.0000 4.3489 0.0000
0.0000 0.0000 2.9869
! Formation energy, kJ per mole of atoms: 9.7

! BaAlRe3 (GGA-PBE, optimized geometry); values from VASP
&SYSTEM
  ibrav = 0, nat = 5, ntyp = 3
/
ATOMIC_SPECIES
Ba 137.33 Ba.upf
Al 26.98 Al.upf
Re 186.21 Re.upf
ATOMIC_POSITIONS angstrom
Ba 0.0000 0.0000 0.0000
Al 2.5037 2.5037 2.5037
Re 0.0000 0.0000 2.5037
Re 0.0000 2.5037 0.0000
Re 2.5037 0.0000 0.0000
CELL_PARAMETERS angstrom
5.0073 0.0000 0.0000
0.0000 5.0073 0.0000
0.0000 0.0000 5.0073
! ΔE to the lowest computed polymorph, kJ/mol of formula units: 994
! Formation energy, kJ per mole of atoms: 371.8

! Cs4Pm3PaSe8 (GGA-PBE, optimized geometry); values from VASP
&SYSTEM
  ibrav = 0, nat = 16, ntyp = 4
/
ATOMIC_SPECIES
Cs 132.91 Cs.upf
Pm 145.00 Pm.upf
Pa 231.04 Pa.upf
Se 78.96 Se.upf
ATOMIC_POSITIONS angstrom
Cs 0.0000 0.0000 0.0000
Cs -2.1732 -1.2547 8.4163
Cs -2.1732 1.2547 16.8325
Cs 0.0000 2.5094 8.4163
Pm -4.3464 0.0000 12.6244
Pm -2.1732 1.2547 4.2081
Pm 2.1732 1.2547 4.2081
Pa 0.0000 0.0000 12.6244
Se 0.0000 0.0000 5.8150
Se -2.1285 -1.2289 14.2173
Se 0.0000 -2.4578 11.0315
Se -2.1285 1.2289 11.0315
Se 2.1285 -1.2289 14.2174
Se 0.0000 2.4578 14.2174
Se 2.1285 1.2289 11.0315
Se 0.0000 0.0000 19.4338
CELL_PARAMETERS angstrom
4.3465 2.5094 8.4163
-4.3465 2.5094 8.4163
0.0000 -5.0188 8.4163
! Calculated total energy, eV per atom: -5.050

! Li3NiRh (GGA-PBE, optimized geometry); values from VASP
&SYSTEM
  ibrav = 0, nat = 20, ntyp = 3
/
ATOMIC_SPECIES
Li 6.94 Li.upf
Ni 58.69 Ni.upf
Rh 102.91 Rh.upf
ATOMIC_POSITIONS angstrom
Li 0.0076 0.7598 1.1474
Li 0.0076 3.7351 1.1474
Li 0.0293 2.2475 6.2185
Li 2.1798 6.7424 2.5068
Li 2.2015 5.2547 4.8591
Li 2.2015 8.2300 4.8591
Li 2.2166 0.7598 2.5643
Li 2.2166 3.7351 2.5643
Li 2.2384 2.2475 4.9166
Li 4.3888 6.7424 1.2049
Li 4.4106 5.2547 6.2760
Li 4.4106 8.2300 6.2760
Ni 0.0223 2.2475 3.2599
Ni 2.1867 6.7424 6.9716
Ni 2.2314 2.2475 0.4518
Ni 4.3958 6.7424 4.1635
Rh 0.0000 0.0000 3.7117
Rh 0.0000 4.4949 3.7117
Rh 2.2091 0.0000 0.0000
Rh 2.2091 4.4949 0.0000
CELL_PARAMETERS angstrom
4.4181 0.0000 0.0000
0.0000 8.9898 0.0000
0.0000 0.0000 7.4234
! ΔE to the lowest computed polymorph, kJ/mol of formula units: 0
! Formation energy, kJ per mole of atoms: 6.6

! ReMoW2 (GGA-PBE, optimized geometry); values from VASP
&SYSTEM
  ibrav = 0, nat = 12, ntyp = 3
/
ATOMIC_SPECIES
Re 186.21 Re.upf
Mo 95.94 Mo.upf
W 183.84 W.upf
ATOMIC_POSITIONS angstrom
Re 0.0000 0.0000 0.0000
Re 0.0000 1.6256 18.6335
Re 1.4078 0.8128 9.3167
Mo 0.0000 0.0000 13.9751
Mo 0.0000 1.6256 4.6584
Mo 1.4078 0.8128 23.2919
W 0.0000 0.0000 7.0653
W 0.0000 0.0000 20.8849
W 0.0000 1.6256 11.5682
W 0.0000 1.6256 25.6988
W 1.4078 0.8128 2.2514
W 1.4078 0.8128 16.3821
CELL_PARAMETERS angstrom
2.8156 0.0000 0.0000
-1.4078 2.4384 0.0000
0.0000 0.0000 27.9502
! ΔE to the lowest computed polymorph, kJ/mol of formula units: 126
! Formation energy, kJ per mole of atoms: 32.1

! CsBrF3 (GGA-PBE, optimized geometry); values from VASP
&SYSTEM
  ibrav = 0, nat = 10, ntyp = 3
/
ATOMIC_SPECIES
Cs 132.91 Cs.upf
Br 79.90 Br.upf
F 19.00 F.upf
ATOMIC_POSITIONS angstrom
Cs 0.1139 1.2631 1.8897
Cs 4.1593 3.7894 4.9583
Br 0.9908 1.2631 6.2570
Br 3.2824 3.7894 0.5910
F -1.6446 1.2631 5.8460
F 0.8614 0.0444 4.7819
F 0.8614 2.4819 4.7819
F 3.4118 2.5707 2.0662
F 3.4118 5.0082 2.0662
F 5.9178 3.7894 1.0021
CELL_PARAMETERS angstrom
6.8019 0.0000 0.0000
0.0000 5.0526 0.0000
-2.5287 0.0000 6.8481
! ΔE to the lowest computed polymorph, kJ/mol of formula units: 19

! Li2GeH (GGA-PBE, optimized geometry); values from VASP
&SYSTEM
  ibrav = 0, nat = 16, ntyp = 3
/
ATOMIC_SPECIES
Li 6.94 Li.upf
Ge 72.64 Ge.upf
H 1.01 H.upf
ATOMIC_POSITIONS angstrom
Li 0.5027 1.3689 0.9024
Li 1.3689 3.2405 2.7071
Li 1.3689 4.9729 6.3165
Li 2.2351 1.3689 4.5118
Li 3.2405 4.1067 4.5118
Li 4.1067 0.5027 6.3165
Li 4.1067 2.2351 2.7071
Li 4.9729 4.1067 0.9024
Ge 0.0000 0.0000 3.6094
Ge 0.0000 2.7378 5.4142
Ge 2.7378 0.0000 1.8047
Ge 2.7378 2.7378 0.0000
H 0.0000 0.0000 0.0000
H 0.0000 2.7378 1.8047
H 2.7378 0.0000 5.4142
H 2.7378 2.7378 3.6094
CELL_PARAMETERS angstrom
5.4756 0.0000 0.0000
0.0000 5.4756 0.0000
0.0000 0.0000 7.2189
! ΔE to the lowest computed polymorph, kJ/mol of formula units: 42

! Pr4MgIn (GGA-PBE, optimized geometry); values from VASP
&SYSTEM
  ibrav = 0, nat = 12, ntyp = 3
/
ATOMIC_SPECIES
Pr 140.91 Pr.upf
Mg 24.30 Mg.upf
In 114.82 In.upf
ATOMIC_POSITIONS angstrom
Pr -0.2683 0.0000 3.2994
Pr -2.1094 2.6241 7.7109
Pr 3.0751 0.0000 1.1112
Pr 1.2340 2.6241 5.5227
Pr 4.4937 2.6241 3.2994
Pr 2.6526 0.0000 7.7109
Pr 7.8371 2.6241 1.1112
Pr 5.9960 0.0000 5.5227
Mg 0.0000 0.0000 0.0000
Mg 4.7620 2.6241 0.0000
In -1.8982 2.6241 4.4111
In 2.8639 0.0000 4.4111
CELL_PARAMETERS angstrom
9.5241 0.0000 0.0000
0.0000 5.2482 0.0000
-3.7964 0.0000 8.8222
! ΔE to the lowest computed polymorph, kJ/mol of formula units: 57
! Formation energy, kJ per mole of atoms: 11.1

! AcNd2Sm2Dy2 (GGA-PBE, optimized geometry); values from VASP
&SYSTEM
  ibrav = 0, nat = 14, ntyp = 4
/
ATOMIC_SPECIES
Ac 227.00 Ac.upf
Nd 144.24 Nd.upf
Sm 150.36 Sm.upf
Dy 162.50 Dy.upf
ATOMIC_POSITIONS angstrom
Ac 0.0000 0.0000 0.0000
Ac 5.7908 2.6022 0.0000
Nd 0.0266 2.6022 5.7684
Nd 4.5888 0.0000 2.3662
Nd 5.8174 0.0000 5.7684
Nd 10.3796 2.6022 2.3662
Sm 2.3038 2.6022 1.2266
Sm 2.3115 0.0000 6.9080
Sm 8.0946 0.0000 1.2266
Sm 8.1024 2.6022 6.9080
Dy 1.1441 0.0000 3.5288
Dy 3.4713 2.6022 4.6058
Dy 6.9349 2.6022 3.5288
Dy 9.2621 0.0000 4.6058
CELL_PARAMETERS angstrom
11.5816 0.0000 0.0000
0.0000 5.2044 0.0000
-1.1755 0.0000 8.1346
! Formation energy, kJ per mole of atoms: 3.2

! GeHPt3 (GGA-PBE, optimized geometry); values from VASP
&SYSTEM
  ibrav = 0, nat = 5, ntyp = 3
/
ATOMIC_SPECIES
Ge 72.64 Ge.upf
H 1.01 H.upf
Pt 195.08 Pt.upf
ATOMIC_POSITIONS angstrom
Ge 0.0000 0.0000 0.0000
H 2.3366 2.3366 2.3366
Pt 0.0000 0.0000 2.3366
Pt 0.0000 2.3366 0.0000
Pt 2.3366 0.0000 0.0000
CELL_PARAMETERS angstrom
4.6732 0.0000 0.0000
0.0000 4.6732 0.0000
0.0000 0.0000 4.6732
! ΔE to the lowest computed polymorph, kJ/mol of formula units: 633

! Er2InAu8 (GGA-PBE, optimized geometry); values from VASP
&SYSTEM
  ibrav = 0, nat = 11, ntyp = 3
/
ATOMIC_SPECIES
Er 167.26 Er.upf
In 114.82 In.upf
Au 196.97 Au.upf
ATOMIC_POSITIONS angstrom
Er 2.4575 0.0000 1.1281
Er 8.8439 0.0000 5.1576
In 5.6507 0.0000 3.1428
Au -0.5553 0.0000 1.3267
Au 0.1838 0.0000 4.2116
Au 3.0792 0.0000 4.0638
Au 5.3183 0.0000 0.4266
Au 5.9831 0.0000 5.8591
Au 8.2221 0.0000 2.2218
Au 11.1175 0.0000 2.0741
Au 11.8566 0.0000 4.9590
CELL_PARAMETERS angstrom
7.2458 -2.4598 0.0000
7.2458 2.4598 0.0000
-3.1903 0.0000 6.2857
! Formation energy, kJ per mole of atoms: -48.9

! AcDySbSe (GGA-PBE, optimized geometry); values from VASP
&SYSTEM
  ibrav = 0, nat = 8, ntyp = 4
/
ATOMIC_SPECIES
Ac 227.00 Ac.upf
Dy 162.50 Dy.upf
Sb 121.76 Sb.upf
Se 78.96 Se.upf
ATOMIC_POSITIONS angstrom
Ac 0.0000 0.0000 3.9165
Ac 0.0000 0.0000 30.1373
Dy 0.0000 0.0000 10.0726
Dy 0.0000 0.0000 23.9811
Sb 0.0000 0.0000 13.1710
Sb 0.0000 0.0000 20.8827
Se 0.0000 0.0000 7.0051
Se 0.0000 0.0000 27.0487
CELL_PARAMETERS angstrom
2.6310 1.5190 11.3513
-2.6310 1.5190 11.3513
0.0000 -3.0380 11.3513
! Calculated total energy, eV per atom: -5.374